Below is crystalline Sm2Dy6Er3Mg at its relaxed geometry, with properties calculated at the GGA-PBE level.

Computed properties:
The calculation puts the density of states at the Fermi level at 1.376 states/eV per atom. As for the space-group type: No. 12. As for the size of the total moment: 0.00 μB per cell. The calculation puts the formation energy at 2 kJ/mol of atoms. Its raw total energy is -52.1 eV/cell.

Cell lengths 6.104, 6.104, 11.683 Å; angles 95.02, 95.02, 120.05 degrees
Atoms (fractional coordinates):
Sm 0.334 0.666 0.000
Sm 0.666 0.334 0.000
Dy 0.916 0.584 0.748
Dy 0.751 0.751 0.253
Dy 0.084 0.416 0.252
Dy 0.584 0.916 0.748
Dy 0.249 0.249 0.747
Dy 0.416 0.084 0.252
Er 0.166 0.834 0.500
Er 0.834 0.166 0.500
Er 0.500 0.500 0.500
Mg 0.000 0.000 0.000

***

Below is crystalline MgBe2Ge2 at its relaxed geometry, with properties calculated at the GGA-PBE level.

Computed properties:
The calculation puts the density of states at the Fermi level at 0.416 states/eV per atom. As for the space-group type: No. 127. As for the size of the total moment: 0.00 μB per cell. The calculation puts the formation energy at 27 kJ/mol of atoms. Its raw total energy is -33.8 eV/cell.

Cell lengths 6.945, 6.945, 3.063 Å; angles 90.00, 90.00, 90.00 degrees
Atoms (fractional coordinates):
Be 0.387 0.887 0.000
Be 0.887 0.613 0.000
Be 0.613 0.113 0.000
Be 0.113 0.387 0.000
Ge 0.179 0.679 0.500
Ge 0.679 0.821 0.500
Ge 0.821 0.321 0.500
Ge 0.321 0.179 0.500
Mg 0.000 0.000 0.000
Mg 0.500 0.500 0.000

***

Below is crystalline RbPaSb2Pt2 at its relaxed geometry, with properties calculated at the GGA-PBE level.

Computed properties:
The calculation puts the density of states at the Fermi level at 0.475 states/eV per atom. As for the space-group type: No. 164. As for the size of the total moment: 0.00 μB per cell. Its raw total energy is -35.3 eV/cell.

Cell lengths 4.455, 4.455, 9.937 Å; angles 90.00, 90.00, 120.00 degrees
Atoms (fractional coordinates):
Rb 0.000 0.000 0.000
Pa 0.000 0.000 0.500
Sb 0.667 0.333 0.272
Sb 0.333 0.667 0.728
Pt 0.667 0.333 0.657
Pt 0.333 0.667 0.343

***

Below is crystalline CaSmCuSe3 at its relaxed geometry, with properties calculated at the GGA-PBE level.

Computed properties:
The calculation puts the density of states at the Fermi level at 0.004 states/eV per atom. As for the space-group type: No. 11. As for the size of the total moment: 0.00 μB per cell. Its raw total energy is -60.4 eV/cell.

Cell lengths 4.041, 8.384, 9.074 Å; angles 101.79, 90.00, 90.00 degrees
Atoms (fractional coordinates):
Ca 0.250 0.183 0.243
Ca 0.750 0.817 0.757
Sm 0.250 0.674 0.174
Sm 0.750 0.326 0.826
Cu 0.250 0.081 0.582
Cu 0.750 0.919 0.418
Se 0.750 0.913 0.142
Se 0.250 0.087 0.858
Se 0.250 0.773 0.497
Se 0.750 0.227 0.503
Se 0.750 0.420 0.163
Se 0.250 0.580 0.837

***

Below is crystalline SnSeN2 at its relaxed geometry, with properties calculated at the GGA-PBE level.

Computed properties:
The relative energy among the computed polymorphs is 1171 meV per atom. The calculation puts the density of states at the Fermi level at 0.077 states/eV per atom. As for the space-group type: No. 166. As for the size of the total moment: 0.00 μB per cell. Its raw total energy is -19.8 eV/cell.

Cell lengths 6.861, 6.861, 6.861 Å; angles 27.18, 27.18, 27.18 degrees
Atoms (fractional coordinates):
Sn 0.000 0.000 0.000
Se 0.500 0.500 0.500
N 0.889 0.889 0.889
N 0.111 0.111 0.111

***

Below is crystalline Re2PdAu2 at its relaxed geometry, with properties calculated at the GGA-PBE level.

Computed properties:
The relative energy among the computed polymorphs is 0 meV per atom. The calculation puts the density of states at the Fermi level at 0.782 states/eV per atom. As for the space-group type: No. 139. As for the size of the total moment: 0.00 μB per cell. The calculation puts the formation energy at 61 kJ/mol of atoms. Its raw total energy is -33.5 eV/cell.

Cell lengths 3.562, 3.562, 7.485 Å; angles 76.23, 76.23, 90.00 degrees
Atoms (fractional coordinates):
Re 0.750 0.250 0.500
Re 0.250 0.750 0.500
Au 0.403 0.403 0.194
Au 0.597 0.597 0.806
Pd 0.000 0.000 0.000

***

Below is crystalline ThMg2Sn at its relaxed geometry, with properties calculated at the GGA-PBE level.

Computed properties:
The relative energy among the computed polymorphs is 443 meV per atom. The calculation puts the density of states at the Fermi level at 0.594 states/eV per atom. As for the space-group type: No. 166. As for the size of the total moment: 0.00 μB per cell. The calculation puts the formation energy at 16 kJ/mol of atoms. Its raw total energy is -14.0 eV/cell.

Cell lengths 3.354, 3.354, 11.466 Å; angles 81.59, 81.59, 60.00 degrees
Atoms (fractional coordinates):
Mg 0.096 0.096 0.712
Mg 0.904 0.904 0.288
Sn 0.500 0.500 0.500
Th 0.000 0.000 0.000

***

Below is crystalline TcPHOs at its relaxed geometry, with properties calculated at the GGA-PBE level.

Computed properties:
The relative energy among the computed polymorphs is 86 meV per atom. The calculation puts the density of states at the Fermi level at 0.599 states/eV per atom. As for the space-group type: No. 44. As for the size of the total moment: 0.00 μB per cell. Its raw total energy is -60.5 eV/cell.

Cell lengths 2.879, 4.569, 6.664 Å; angles 90.00, 90.00, 90.00 degrees
Atoms (fractional coordinates):
Tc 0.000 0.500 0.026
Tc 0.500 0.000 0.526
P 0.000 0.000 0.821
P 0.500 0.500 0.321
H 0.000 0.000 0.324
H 0.500 0.500 0.824
Os 0.000 0.500 0.613
Os 0.500 0.000 0.113

***

Below is crystalline Tb6Pm3Th at its relaxed geometry, with properties calculated at the GGA-PBE level.

Computed properties:
The relative energy among the computed polymorphs is 215 meV per atom. The calculation puts the density of states at the Fermi level at 1.950 states/eV per atom. As for the space-group type: No. 155. As for the size of the total moment: 0.00 μB per cell. The calculation puts the formation energy at 28 kJ/mol of atoms. Its raw total energy is -46.5 eV/cell.

Cell lengths 9.935, 9.935, 6.956 Å; angles 44.43, 44.43, 60.00 degrees
Atoms (fractional coordinates):
Tb 0.900 0.574 0.300
Tb 0.226 0.900 0.300
Tb 0.574 0.226 0.300
Tb 0.069 0.400 0.800
Tb 0.731 0.069 0.800
Tb 0.400 0.731 0.800
Pm 0.400 0.400 0.800
Pm 0.643 0.643 0.070
Pm 0.157 0.157 0.529
Th 0.900 0.900 0.300

***

Below is crystalline Tb3Lu5H12 at its relaxed geometry, with properties calculated at the GGA-PBE level.

Computed properties:
The calculation puts the density of states at the Fermi level at 0.556 states/eV per atom. As for the space-group type: No. 230. As for the size of the total moment: 0.00 μB per cell. Its raw total energy is -344.0 eV/cell.

Cell lengths 11.113, 11.113, 11.113 Å; angles 109.47, 109.47, 109.47 degrees
Atoms (fractional coordinates):
Tb 0.750 0.375 0.125
Tb 0.875 0.750 0.125
Tb 0.375 0.750 0.625
Tb 0.250 0.125 0.375
Tb 0.875 0.125 0.250
Tb 0.375 0.625 0.250
Tb 0.625 0.375 0.750
Tb 0.125 0.875 0.750
Tb 0.750 0.875 0.625
Tb 0.625 0.250 0.375
Tb 0.125 0.250 0.875
Tb 0.250 0.625 0.875
Lu 0.125 0.375 0.250
Lu 0.000 0.500 0.000
Lu 0.000 0.000 0.000
Lu 0.375 0.250 0.125
Lu 0.500 0.000 0.500
Lu 0.500 0.500 0.000
Lu 0.125 0.750 0.375
Lu 0.750 0.125 0.875
Lu 0.750 0.625 0.375
Lu 0.375 0.125 0.750
Lu 0.625 0.875 0.250
Lu 0.500 0.500 0.500
Lu 0.500 0.000 0.000
Lu 0.000 0.000 0.500
Lu 0.250 0.375 0.625
Lu 0.250 0.875 0.125
Lu 0.000 0.500 0.500
Lu 0.875 0.250 0.625
Lu 0.625 0.750 0.875
Lu 0.875 0.625 0.750
H 0.720 0.150 0.061
H 0.341 0.561 0.412
H 0.939 0.350 0.280
H 0.561 0.220 0.150
H 0.570 0.720 0.659
H 0.939 0.588 0.159
H 0.341 0.780 0.430
H 0.088 0.930 0.150
H 0.588 0.939 0.659
H 0.720 0.570 0.159
H 0.780 0.439 0.350
H 0.841 0.912 0.061
H 0.150 0.720 0.561
H 0.350 0.412 0.070
H 0.070 0.912 0.350
H 0.430 0.150 0.588
H 0.070 0.159 0.220
H 0.439 0.659 0.088
H 0.841 0.930 0.280
H 0.150 0.430 0.088
H 0.350 0.939 0.780
H 0.588 0.650 0.430
H 0.912 0.841 0.561
H 0.780 0.341 0.930
H 0.412 0.350 0.570
H 0.088 0.159 0.439
H 0.220 0.659 0.070
H 0.159 0.070 0.720
H 0.650 0.061 0.220
H 0.850 0.570 0.912
H 0.561 0.341 0.912
H 0.570 0.850 0.412
H 0.930 0.841 0.780
H 0.930 0.088 0.650
H 0.850 0.280 0.439
H 0.159 0.088 0.939
H 0.650 0.588 0.930
H 0.412 0.061 0.341
H 0.280 0.430 0.841
H 0.220 0.561 0.650
H 0.912 0.070 0.850
H 0.659 0.220 0.570
H 0.439 0.780 0.850
H 0.061 0.412 0.841
H 0.430 0.280 0.341
H 0.061 0.650 0.720
H 0.659 0.439 0.588
H 0.280 0.850 0.939

***

Below is crystalline YRhN3 at its relaxed geometry, with properties calculated at the GGA-PBE level.

Computed properties:
The calculation puts the density of states at the Fermi level at 0.863 states/eV per atom. As for the space-group type: No. 221. As for the size of the total moment: 0.00 μB per cell. Its raw total energy is -29.3 eV/cell.

Cell lengths 4.257, 4.257, 4.257 Å; angles 90.00, 90.00, 90.00 degrees
Atoms (fractional coordinates):
Y 0.000 0.000 0.000
Rh 0.500 0.500 0.500
N 0.000 0.500 0.000
N 0.000 0.000 0.500
N 0.500 0.000 0.000

***

Below is crystalline NiBiBr2 at its relaxed geometry, with properties calculated at the GGA-PBE level.

Computed properties:
The relative energy among the computed polymorphs is 530 meV per atom. The calculation puts the density of states at the Fermi level at 0.497 states/eV per atom. As for the space-group type: No. 225. As for the size of the total moment: 0.00 μB per cell. Its raw total energy is -11.3 eV/cell.

Cell lengths 5.086, 5.086, 5.086 Å; angles 60.00, 60.00, 60.00 degrees
Atoms (fractional coordinates):
Ni 0.000 0.000 0.000
Bi 0.500 0.500 0.500
Br 0.250 0.250 0.250
Br 0.750 0.750 0.750